Computed, not measured: crystalline Sc5In2CuRh2 at its relaxed geometry at the GGA-PBE level of DFT.

Unit cell a=11.024 b=11.024 c=3.368 alpha=90.00 beta=90.00 gamma=90.00
Space group P4/mbm (No. 127)
Unique sites:
1 Sc 0.000 0.500 0.000 x2
2 Sc 0.073 0.196 0.000 x8
3 In 0.172 0.672 0.500 x4
4 Cu 0.000 0.000 0.500 x2
5 Rh 0.134 0.366 0.500 x4

Results
DFT formation energy	-0.56	eV/atom
E_tot	-6.153	eV/atom
M_tot	0.00	μB per formula unit


Computed, not measured: crystalline Sm2InCu2Rh5 at its relaxed geometry at the GGA-PBE level of DFT.

Unit cell a=9.440 b=9.440 c=3.887 alpha=90.00 beta=90.00 gamma=90.00
Space group P4/mbm (No. 127)
Unique sites:
1 Sm 0.176 0.324 0.000 x4
2 In 0.000 0.000 0.000 x2
3 Cu 0.120 0.620 0.000 x4
4 Rh 0.000 0.500 0.500 x2
5 Rh 0.069 0.790 0.500 x8

Results
DFT formation energy	-0.46	eV/atom
E_tot	-6.169	eV/atom
M_tot	0.00	μB per formula unit


Computed, not measured: crystalline SmInCuRh at its relaxed geometry at the GGA-PBE level of DFT.

Unit cell a=6.770 b=6.770 c=6.770 alpha=90.00 beta=90.00 gamma=90.00
Space group F-43m (No. 216)
Unique sites:
1 Sm 0.000 0.000 0.000 x4
2 In 0.000 0.000 0.500 x4
3 Cu 0.250 0.250 0.250 x4
4 Rh 0.250 0.250 0.750 x4

Results
DFT formation energy	-0.40	eV/atom
E_tot	-5.130	eV/atom
M_tot	0.00	μB per formula unit


Computed, not measured: crystalline In2CuSnRh at its relaxed geometry at the GGA-PBE level of DFT.

Unit cell a=5.582 b=5.582 c=4.941 alpha=90.00 beta=90.00 gamma=90.00
Space group P4/mmm (No. 123)
Unique sites:
1 In 0.000 0.500 0.000 x2
2 Cu 0.000 0.000 0.500 x1
3 Sn 0.500 0.500 0.000 x1
4 Rh 0.500 0.500 0.500 x1

Results
DFT formation energy	0.97	eV/atom
E_tot	-3.212	eV/atom
M_tot	0.00	μB per formula unit


Computed, not measured: crystalline Tb2InCu2Rh5 at its relaxed geometry at the GGA-PBE level of DFT.

Unit cell a=9.363 b=9.363 c=3.876 alpha=90.00 beta=90.00 gamma=90.00
Space group P4/mbm (No. 127)
Unique sites:
1 Tb 0.175 0.325 0.000 x4
2 In 0.000 0.000 0.000 x2
3 Cu 0.121 0.621 0.000 x4
4 Rh 0.000 0.500 0.500 x2
5 Rh 0.071 0.791 0.500 x8

Results
DFT formation energy	-0.49	eV/atom
E_tot	-6.182	eV/atom
M_tot	0.00	μB per formula unit


Computed, not measured: crystalline ThInCuRh at its relaxed geometry at the GGA-PBE level of DFT.

Unit cell a=6.874 b=6.874 c=6.874 alpha=90.00 beta=90.00 gamma=90.00
Space group F-43m (No. 216)
Unique sites:
1 Th 0.000 0.000 0.000 x4
2 In 0.000 0.000 0.500 x4
3 Cu 0.250 0.250 0.750 x4
4 Rh 0.250 0.250 0.250 x4

Results
DFT formation energy	-0.43	eV/atom
E_tot	-5.827	eV/atom
M_tot	0.00	μB per formula unit


Computed, not measured: crystalline Th2InCu2Rh5 at its relaxed geometry at the GGA-PBE level of DFT.

Unit cell a=9.527 b=9.527 c=3.876 alpha=90.00 beta=90.00 gamma=90.00
Space group P4/mbm (No. 127)
Unique sites:
1 Th 0.175 0.325 0.000 x4
2 In 0.000 0.000 0.000 x2
3 Cu 0.121 0.621 0.000 x4
4 Rh 0.000 0.500 0.500 x2
5 Rh 0.075 0.792 0.500 x8

Results
DFT formation energy	-0.60	eV/atom
E_tot	-6.856	eV/atom
M_tot	0.00	μB per formula unit


Computed, not measured: crystalline TiInCuRh2 at its relaxed geometry at the GGA-PBE level of DFT.

Unit cell a=4.485 b=4.485 c=5.253 alpha=90.00 beta=90.00 gamma=90.00
Space group P4/mmm (No. 123)
Unique sites:
1 Ti 0.000 0.000 0.000 x1
2 In 0.000 0.000 0.500 x1
3 Cu 0.500 0.500 0.500 x1
4 Rh 0.000 0.500 0.000 x2

Results
DFT formation energy	0.73	eV/atom
E_tot	-5.152	eV/atom
M_tot	0.00	μB per formula unit


Computed, not measured: crystalline Ti2InCuRh at its relaxed geometry at the GGA-PBE level of DFT.

Unit cell a=4.530 b=4.530 c=4.610 alpha=90.00 beta=90.00 gamma=90.00
Space group P4/mmm (No. 123)
Unique sites:
1 Ti 0.000 0.500 0.000 x2
2 In 0.000 0.000 0.500 x1
3 Cu 0.500 0.500 0.000 x1
4 Rh 0.500 0.500 0.500 x1

Results
DFT formation energy	0.40	eV/atom
E_tot	-5.591	eV/atom
M_tot	0.00	μB per formula unit


Computed, not measured: crystalline TmInCuRh at its relaxed geometry at the GGA-PBE level of DFT.

Unit cell a=6.628 b=6.628 c=6.628 alpha=90.00 beta=90.00 gamma=90.00
Space group F-43m (No. 216)
Unique sites:
1 Tm 0.000 0.000 0.000 x4
2 In 0.000 0.000 0.500 x4
3 Cu 0.250 0.250 0.750 x4
4 Rh 0.250 0.250 0.250 x4

Results
DFT formation energy	-0.50	eV/atom
E_tot	-5.160	eV/atom
M_tot	0.00	μB per formula unit


Computed, not measured: crystalline Tm2InCu2Rh5 at its relaxed geometry at the GGA-PBE level of DFT.

Unit cell a=9.289 b=9.289 c=3.862 alpha=90.00 beta=90.00 gamma=90.00
Space group P4/mbm (No. 127)
Unique sites:
1 Tm 0.174 0.326 0.000 x4
2 In 0.000 0.000 0.000 x2
3 Cu 0.122 0.622 0.000 x4
4 Rh 0.000 0.500 0.500 x2
5 Rh 0.072 0.792 0.500 x8

Results
DFT formation energy	-0.50	eV/atom
E_tot	-6.166	eV/atom
M_tot	0.00	μB per formula unit


Computed, not measured: crystalline VInCuRh at its relaxed geometry at the GGA-PBE level of DFT.

Unit cell a=6.233 b=6.233 c=6.233 alpha=90.00 beta=90.00 gamma=90.00
Space group F-43m (No. 216)
Unique sites:
1 V 0.000 0.000 0.000 x4
2 In 0.000 0.000 0.500 x4
3 Cu 0.250 0.250 0.750 x4
4 Rh 0.250 0.250 0.250 x4

Results
DFT formation energy	-0.09	eV/atom
E_tot	-5.913	eV/atom
M_tot	0.00	μB per formula unit


Copy entry 11 word for word.
Computed, not measured: crystalline Tm2InCu2Rh5 at its relaxed geometry at the GGA-PBE level of DFT.

Unit cell a=9.289 b=9.289 c=3.862 alpha=90.00 beta=90.00 gamma=90.00
Space group P4/mbm (No. 127)
Unique sites:
1 Tm 0.174 0.326 0.000 x4
2 In 0.000 0.000 0.000 x2
3 Cu 0.122 0.622 0.000 x4
4 Rh 0.000 0.500 0.500 x2
5 Rh 0.072 0.792 0.500 x8

Results
DFT formation energy	-0.50	eV/atom
E_tot	-6.166	eV/atom
M_tot	0.00	μB per formula unit


Copy entry 10 word for word.
Computed, not measured: crystalline TmInCuRh at its relaxed geometry at the GGA-PBE level of DFT.

Unit cell a=6.628 b=6.628 c=6.628 alpha=90.00 beta=90.00 gamma=90.00
Space group F-43m (No. 216)
Unique sites:
1 Tm 0.000 0.000 0.000 x4
2 In 0.000 0.000 0.500 x4
3 Cu 0.250 0.250 0.750 x4
4 Rh 0.250 0.250 0.250 x4

Results
DFT formation energy	-0.50	eV/atom
E_tot	-5.160	eV/atom
M_tot	0.00	μB per formula unit